## CuHgAuO4 (GGA-PBE)

Data for a relaxed CuHgAuO4 crystal.

The uncorrected energy comes out at -4.15 eV per atom. The value obtained for the uncorrected formation energy is -0.223 eV/atom. The size of the total moment is 0.0 μB per cell.

The space group is Imma (No. 74) and the conventional cell measures 5.587, 6.052 and 12.528 Å, with angles of 90.00, 90.00 and 90.00 degrees. Symmetry generates all atoms from Cu at (0.250, 0.250, 0.250), Hg at (0.000, 0.250, 0.642), Au at (0.000, 0.000, 0.000), O at (0.000, 0.047, 0.244) and O at (0.242, 0.250, 0.003).